1.
# PBE-GGA LuCd4Sn, optimized geometry
data_LuCd4Sn
_chemical_formula_sum 'Lu1 Cd4 Sn1'
_cell_length_a 5.901
_cell_length_b 5.901
_cell_length_c 5.901
_cell_angle_alpha 60.00
_cell_angle_beta 60.00
_cell_angle_gamma 60.00
_space_group_name_H-M_alt 'P 1'
_space_group_IT_number 1
_space_group_name_Hall 'P 1'
loop_
_atom_site_label
_atom_site_fract_x
_atom_site_fract_y
_atom_site_fract_z
Lu1 0.000 0.000 0.000
Cd1 0.375 0.375 0.375
Cd2 0.375 0.375 0.876
Cd3 0.375 0.876 0.375
Cd4 0.876 0.375 0.375
Sn1 0.750 0.750 0.750
# Total energy: -12.52 eV/cell
# E_form: -0.056 eV/atom



2.
# PBE-GGA Np2AsSe, optimized geometry
data_Np2AsSe
_chemical_formula_sum 'Np2 As1 Se1'
_cell_length_a 3.523
_cell_length_b 3.523
_cell_length_c 7.070
_cell_angle_alpha 90.00
_cell_angle_beta 90.00
_cell_angle_gamma 90.00
_space_group_name_H-M_alt 'P 1'
_space_group_IT_number 1
_space_group_name_Hall 'P 1'
loop_
_atom_site_label
_atom_site_fract_x
_atom_site_fract_y
_atom_site_fract_z
Np1 0.000 0.000 0.240
Np2 0.000 0.000 0.760
As1 0.500 0.500 0.000
Se1 0.500 0.500 0.500
# E_form (uncorrected): -745.6 meV per atom
# Total energy: -37.00 eV/cell
# Polymorph energy (0 for the lowest one): 0.60 eV/f.u.



3.
# PBE-GGA LaB2Ru, optimized geometry
data_LaB2Ru
_chemical_formula_sum 'La1 B2 Ru1'
_cell_length_a 4.341
_cell_length_b 4.341
_cell_length_c 4.341
_cell_angle_alpha 60.00
_cell_angle_beta 60.00
_cell_angle_gamma 60.00
_space_group_name_H-M_alt 'P 1'
_space_group_IT_number 1
_space_group_name_Hall 'P 1'
loop_
_atom_site_label
_atom_site_fract_x
_atom_site_fract_y
_atom_site_fract_z
La1 0.000 0.000 0.000
B1 0.250 0.250 0.250
B2 0.750 0.750 0.750
Ru1 0.500 0.500 0.500
# Total energy: -25.24 eV/cell
# Polymorph energy (0 for the lowest one): 4.00 eV/f.u.
# E_form: 0.578 eV/atom



Number 1: spin magnetization 0.001 Bohr magnetons per cell. Number 2: spin magnetization 8.870 Bohr magnetons per cell. Number 3: spin magnetization 0.000 Bohr magnetons per cell.